Record 1
A geometry-optimized Pm2Sm4Er3 structure, computed with PBE.

ΔE to the lowest computed polymorph = 0 meV/atom
E_tot = -4.62 eV per atom
DFT formation energy = 51 meV/atom
SG = P3m1 (156)
total magnetization = 0.006 μB per formula unit

Geometry as POSCAR:
```
Pm2Sm4Er3
1.0
-0.6958 2.7597 -2.2262
1.7648 -2.9065 -1.2222
-23.1706 -11.2502 -6.7042
Pm Sm Er
2 4 3
Cartesian
-1.8830 -0.1037 -2.4724
-20.0921 -8.9449 -7.7410
-12.6294 -6.1320 -3.6542
-9.9167 -4.0044 -4.7968
-4.9867 -1.6107 -3.3704
-17.6062 -8.5485 -5.0942
-22.7386 -11.0404 -6.5792
-7.5370 -3.6595 -2.1807
-14.9949 -6.4700 -6.2662
```

***

Record 2
A geometry-optimized Pm5SmEr3 structure, computed with PBE.

ΔE to the lowest computed polymorph = 0 meV/atom
E_tot = -4.55 eV per atom
DFT formation energy = 131 meV/atom
SG = C2/c (15)
total magnetization = 0.000 μB per formula unit

Geometry as POSCAR:
```
Pm5SmEr3
1.0
9.3485 0.0000 0.0000
-4.6742 8.7120 -1.0319
0.0000 0.8536 7.2460
Pm Sm Er
10 2 6
Cartesian
3.0817 0.6402 5.4345
1.6548 6.6947 6.5487
6.3185 3.7287 6.8994
3.0194 2.8709 -0.3346
1.6443 6.2638 2.9376
6.2668 0.2134 1.8115
-1.6548 6.2679 2.9257
6.3291 3.2977 3.2884
3.0300 3.3018 3.2765
-1.6443 5.8369 -0.6854
6.5246 0.6402 5.4345
2.8239 0.2134 1.8115
0.0000 0.0000 0.0000
4.6748 5.8357 1.1461
0.0000 0.4268 3.6230
-0.0006 3.7299 5.0679
4.6736 6.2626 4.7691
0.0006 3.3031 1.4450
```

***

Record 3
A geometry-optimized Pm3Sm2Er5 structure, computed with PBE.

ΔE to the lowest computed polymorph = 0 meV/atom
E_tot = -4.46 eV per atom
DFT formation energy = 187 meV/atom
SG = C2/c (15)
total magnetization = 0.000 μB per formula unit

Geometry as POSCAR:
```
Pm3Sm2Er5
1.0
-8.1891 -3.5623 2.7991
-0.0783 -9.3040 -0.9592
7.0307 5.6391 6.5451
Pm Sm Er
6 4 10
Cartesian
4.8032 -4.5275 6.0229
-6.0398 -2.6997 2.3621
-4.2313 -5.5926 3.2330
2.9947 -1.6345 5.1520
1.5186 -5.8926 0.9697
-2.7552 -1.3345 7.4153
-1.1025 1.2760 6.9840
-0.1342 -8.5032 1.4010
1.2968 -4.2326 5.4670
-2.5334 -2.9945 2.9180
-1.9566 -5.5782 0.5548
0.7199 -1.6490 7.8302
3.6002 -4.1978 2.9231
-0.4412 -1.3308 4.8384
-4.8369 -3.0294 5.4619
-0.7955 -5.8964 3.5466
-1.9595 -4.6043 6.6149
0.7229 -2.6228 1.7701
2.1029 1.6617 5.7048
-3.3395 -8.8888 2.6802
```

***

Record 4
A geometry-optimized PmSm4Er7 structure, computed with PBE.

ΔE to the lowest computed polymorph = 182 meV/atom
E_tot = -4.36 eV per atom
DFT formation energy = 268 meV/atom
SG = C2/m (12)
total magnetization = 0.000 μB per formula unit

Geometry as POSCAR:
```
PmSm4Er7
1.0
5.8663 0.0000 0.0000
2.9332 11.2102 -0.2895
2.9332 0.1999 6.0436
Pm Sm Er
1 4 7
Cartesian
0.0000 0.0000 0.0000
5.8663 2.6076 2.9822
5.8663 8.8024 2.7719
8.7995 7.7020 4.5956
2.9332 3.7080 1.1585
8.7995 10.4491 2.7472
2.9332 0.9610 3.0068
2.9332 7.6674 0.9399
8.7995 3.7426 4.8141
5.8663 5.7338 4.4960
2.9332 0.0000 0.0000
5.8663 5.6762 1.2581
```

***

Record 5
A geometry-optimized Pm3Sm2Er5 structure, computed with PBE.

ΔE to the lowest computed polymorph = 209 meV/atom
E_tot = -4.25 eV per atom
DFT formation energy = 396 meV/atom
SG = Ibam (72)
total magnetization = 0.000 μB per formula unit

Geometry as POSCAR:
```
Pm3Sm2Er5
1.0
6.8020 0.0000 0.0000
3.4010 11.5554 2.8927
3.4010 5.8555 10.3735
Pm Sm Er
6 4 10
Cartesian
1.7005 0.0000 0.0000
5.1015 0.0000 0.0000
6.8020 9.5862 10.2330
6.8020 7.8247 3.0332
10.2031 12.4100 6.5269
3.4010 5.0009 6.7393
6.8020 14.6375 12.3220
6.8020 2.7734 0.9441
10.2031 15.7646 10.8428
3.4010 1.6463 2.4234
5.1015 8.7054 6.6331
8.5026 8.7054 6.6331
8.5026 13.0252 9.9245
8.5026 4.3857 3.3416
5.1015 4.3857 3.3416
5.1015 13.0252 9.9245
3.4010 7.0392 4.3240
10.2031 10.3717 8.9421
6.8020 6.0370 5.6393
6.8020 11.3739 7.6269
```

***

Record 6
A geometry-optimized Pm4SmEr6 structure, computed with PBE.

ΔE to the lowest computed polymorph = 0 meV/atom
E_tot = -4.34 eV per atom
DFT formation energy = 307 meV/atom
SG = I-42m (121)
total magnetization = 0.002 μB per formula unit

Geometry as POSCAR:
```
Pm4SmEr6
1.0
7.4532 -2.9040 -5.4629
-5.1487 7.9873 1.8765
-1.8720 2.9040 9.0493
Pm Sm Er
4 1 6
Cartesian
-3.2981 5.1164 1.3199
0.2627 2.8709 1.9146
-1.2621 1.9579 5.7768
-2.2906 8.9334 7.3775
0.0000 0.0000 0.0000
-4.9766 7.7203 5.5586
-3.8092 5.9092 8.1142
-1.2230 4.9820 4.0894
1.1523 2.5416 -1.7932
3.4207 0.2670 -1.3735
2.7906 0.0000 1.7932
```

***

Record 7
A geometry-optimized Pm5Sm3Er structure, computed with PBE.

ΔE to the lowest computed polymorph = 339 meV/atom
E_tot = -4.22 eV per atom
DFT formation energy = 496 meV/atom
SG = C2/m (12)
total magnetization = 0.000 μB per formula unit

Geometry as POSCAR:
```
Pm5Sm3Er
1.0
-4.7315 -1.4782 6.7716
-4.9437 -5.0867 -4.4846
-1.8494 -12.5561 4.0602
Pm Sm Er
10 6 2
Cartesian
-5.3248 -6.7325 5.3646
-4.8902 -4.1770 -1.6468
-6.5925 -5.4336 1.8662
-3.8858 -7.4120 2.4494
-7.6388 -11.7091 3.8977
-4.9322 -13.6875 4.4810
-5.4309 -8.5377 -0.2665
-4.7850 -2.3879 3.9338
-6.1998 -12.3886 0.9825
-6.0937 -10.5833 6.6136
-8.0433 -14.7520 4.8809
-7.1178 -8.6629 2.9113
0.0000 0.0000 0.0000
-0.9247 -6.2781 2.0301
-3.4814 -4.3690 1.4663
-4.4068 -10.4582 3.4358
-11.0102 -16.1608 5.3884
-0.5144 -2.9602 0.9587
```

***

Record 8
A geometry-optimized Pm5Sm2Er2 structure, computed with PBE.

ΔE to the lowest computed polymorph = 149 meV/atom
E_tot = -4.54 eV per atom
DFT formation energy = 166 meV/atom
SG = Ima2 (46)
total magnetization = 0.000 μB per formula unit

Geometry as POSCAR:
```
Pm5Sm2Er2
1.0
12.9311 0.0000 0.0000
0.0000 6.2071 0.0000
-6.4656 -3.1035 7.5922
Pm Sm Er
10 4 4
Cartesian
-3.8974 1.0186 6.8722
10.3630 4.1221 0.7200
-2.5681 -2.0850 6.8722
9.0337 1.0186 0.7200
2.4110 0.0534 2.1833
4.0545 3.1569 5.4089
4.0545 3.1569 2.1833
2.4110 0.0534 5.4089
-2.2951 2.6399 3.7961
8.7607 -0.4636 3.7961
0.0000 0.5134 0.0000
6.4656 3.6169 0.0000
-0.7269 -0.2996 3.7961
7.1925 2.8039 3.7961
0.6425 3.1993 2.0674
5.8230 0.0958 5.5248
5.8230 0.0958 2.0674
0.6425 3.1993 5.5248
```

***

Record 9
A geometry-optimized PmSm9Er2 structure, computed with PBE.

E_tot = -4.68 eV per atom
DFT formation energy = 19 meV/atom
SG = P4/mmm (123)
total magnetization = 0.000 μB per formula unit

Geometry as POSCAR:
```
PmSm9Er2
1.0
-3.2554 0.7454 -3.8575
-3.3901 -3.0650 2.2687
-5.9580 12.0325 7.3529
Pm Sm Er
1 9 2
Cartesian
0.0000 0.0000 0.0000
-3.3227 -1.1598 -0.7944
-5.3183 2.8704 1.6684
-7.2852 6.8425 4.0957
-2.6327 2.4024 -0.6884
-4.6067 6.3889 1.7477
-6.5807 10.3755 4.1838
-2.7001 0.4972 2.3747
-4.6740 4.4838 4.8108
-6.6480 8.4703 7.2469
-1.9927 4.0243 2.4592
-3.9653 8.0082 4.8937
```

***

Record 10
A geometry-optimized Pm6SmEr12 structure, computed with PBE.

ΔE to the lowest computed polymorph = 98 meV/atom
E_tot = -4.41 eV per atom
DFT formation energy = 216 meV/atom
SG = R-3m (166)
total magnetization = 0.000 μB per formula unit

Geometry as POSCAR:
```
Pm6SmEr12
1.0
-4.0041 -6.8867 -3.4703
3.9134 -3.9745 6.6627
-6.7418 3.4188 4.2852
Pm Sm Er
6 1 12
Cartesian
-8.3297 -4.4963 3.0343
-2.4093 -8.6043 4.3554
-3.9304 -2.8781 8.6646
-4.4233 1.1619 3.1222
1.4971 -2.9461 4.4433
-2.9021 -4.5642 -1.1870
0.0000 0.0000 0.0000
-5.4474 -4.4683 1.1393
-3.4988 -1.5544 0.8304
-0.5796 -3.5799 1.4818
-5.5029 -6.6859 3.8711
-6.2529 -3.8625 5.9958
-3.3338 -5.8880 6.6472
-0.6828 -5.6178 4.3487
-4.1186 -1.0774 5.7283
-1.3852 -2.9741 6.3383
-6.1497 -1.8245 3.1289
-2.7140 -6.3649 1.7492
-1.3297 -0.7565 3.6065
```

***

Record 11
A geometry-optimized Pm2Sm8Er3 structure, computed with PBE.

E_tot = -4.47 eV per atom
DFT formation energy = 214 meV/atom
SG = C2/m (12)
total magnetization = 0.000 μB per formula unit

Geometry as POSCAR:
```
Pm2Sm8Er3
1.0
5.5959 0.0000 0.7732
0.0000 7.6820 0.0000
-1.4124 -3.8410 10.2003
Pm Sm Er
2 8 3
Cartesian
2.1153 0.0000 5.2867
2.0682 3.8410 5.6868
-0.4713 3.8410 3.4255
4.6549 0.0000 7.5480
5.2282 0.0000 3.4174
-1.0447 3.8410 7.5561
1.6800 1.5883 8.4549
1.6800 -1.5883 8.4549
2.5035 5.4293 2.5185
2.5035 2.2527 2.5185
2.7980 0.0000 0.3866
0.0000 2.1943 0.0000
0.0000 5.4877 0.0000
```

***

Record 12
A geometry-optimized Pm6Sm4Er structure, computed with PBE.

ΔE to the lowest computed polymorph = 0 meV/atom
E_tot = -4.44 eV per atom
DFT formation energy = 284 meV/atom
SG = I-42m (121)
total magnetization = 0.000 μB per formula unit

Geometry as POSCAR:
```
Pm6Sm4Er
1.0
7.5506 -3.0186 -5.5886
-5.2364 8.1233 1.9871
-1.9458 3.0186 9.1901
Pm Sm Er
6 4 1
Cartesian
-5.1038 7.9177 5.7538
-3.9349 6.1042 8.3126
-1.2562 5.0377 4.1440
1.1571 2.5523 -1.8007
3.4811 0.2056 -1.4446
2.8024 0.0000 1.8007
-3.3528 5.2013 1.3716
0.2228 2.9220 1.9690
-1.2989 2.0150 5.8676
-2.3849 9.1269 7.5576
0.0000 0.0000 0.0000
```

***

Q: The highest E_tot belongs to which entry?
A: Pm5Sm3Er